Density functional theory data (PBE) for an optimized crystal structure of CaTcSb2.

Cell: 5.037 3.679 5.450 Å, 70.29 90.00 90.00°
Element x y z (fractional)
1 Sb 0.000 0.039 0.047
2 Sb 0.500 0.429 0.267
3 Ca 0.500 0.705 0.715
4 Tc 0.000 0.327 0.471

Computed properties:
Size of the total moment ... 0.000 μB per formula unit
Excess energy over the best structure of this formula in the dataset ... 245 meV per atom
Uncorrected formation energy ... 0.005 eV/atom
DOS at the Fermi energy ... 0.485 states/eV/atom
Symmetry ... No. 38
Raw total energy ... -5.149 eV per atom